A plane-wave DFT calculation with PBE was carried out for a relaxed structure of LaHg2Br.

```
LaHg2Br
1.0
3.9548 0.0000 0.0000
0.0000 3.9678 0.0000
0.0000 0.0000 7.3142
La Hg Br
1 2 1
direct
0.0000 0.0000 0.0000
0.0000 0.0000 0.4854
0.5000 0.5000 0.2675
0.5000 0.5000 0.8015
```

Values from the calculation:
- N(E_F): 2.9 states/eV/cell
- Spin magnetization: 0.001 μB per atom
- Crystal system: orthorhombic
- E_form (uncorrected): -0.706 eV per atom